[1]
## MgTaHgO2 (PBE)

Data for an optimized crystal structure of MgTaHgO2.

abc: 3.926 3.926 6.043
angles: 90.00 90.00 90.00
Positions (direct):
Mg1 0.000 0.000 0.000
Ta1 0.500 0.500 0.500
Hg1 0.500 0.500 0.000
O1 0.000 0.500 0.500
O2 0.500 0.000 0.500

Results
- Total magnetization: 0.000 μB/atom
- Energy: -30.4 eV for the cell shown
- Formation energy from raw total energies: -1339 meV/atom
- DOS(E_F): 0.319 states/eV per atom

=====

[2]
## Ca2YTlAg (PBE)

Data for an optimized crystal structure of Ca2YTlAg.

abc: 6.233 6.233 5.273
angles: 90.00 90.00 90.00
Positions (direct):
Ca1 0.000 0.500 0.000
Ca2 0.500 0.000 0.000
Y1 0.000 0.000 0.000
Tl1 0.500 0.500 0.500
Ag1 0.000 0.000 0.500

Results
- Total magnetization: 0.031 μB/atom
- Energy: -12.2 eV for the cell shown
- ΔE_f: 0.7005 eV per atom
- DOS(E_F): 1.064 states/eV per atom

=====

[3]
## Cs3In2Sb2 (PBE)

Data for an optimized crystal structure of Cs3In2Sb2.

abc: 11.907 11.907 11.907
angles: 157.19 149.88 38.12
Positions (direct):
Cs1 0.000 0.000 0.000
Cs2 0.186 0.686 0.500
Cs3 0.814 0.314 0.500
In1 0.438 0.438 0.000
In2 0.562 0.562 0.000
Sb1 0.365 0.865 0.500
Sb2 0.635 0.135 0.500

Results
- Total magnetization: 0.000 μB/atom
- Energy: -18.9 eV for the cell shown
- Formation energy from raw total energies: -367 meV/atom
- DOS(E_F): 0.428 states/eV per atom

=====

[4]
## Li2Al3Ni8 (PBE)

Data for an optimized crystal structure of Li2Al3Ni8.

abc: 8.928 8.928 8.928
angles: 30.48 30.48 30.48
Positions (direct):
Li1 0.140 0.140 0.140
Li2 0.860 0.860 0.860
Al1 0.316 0.316 0.316
Al2 0.500 0.500 0.500
Al3 0.684 0.684 0.684
Ni1 0.227 0.227 0.227
Ni2 0.231 0.231 0.730
Ni3 0.231 0.730 0.231
Ni4 0.270 0.769 0.769
Ni5 0.730 0.231 0.231
Ni6 0.769 0.270 0.769
Ni7 0.769 0.769 0.270
Ni8 0.773 0.773 0.773

Results
- Total magnetization: 0.000 μB/atom
- Energy: -62.4 eV for the cell shown
- ΔE_f: -0.0866 eV per atom
- DOS(E_F): 1.138 states/eV per atom